1.
A plane-wave DFT calculation with GGA-PBE was carried out for a relaxed structure of Na2IrIO6.

The uncorrected energy comes out at -4.998 eV/atom. For the theoretical density, the calculation gives 6.0 g/cm3. The calculation puts the formation energy (no corrections) at -0.718 eV per atom.

Cell and atoms, written as CIF:
```
data_Na2IrIO6
_chemical_formula_sum 'Na2 Ir1 I1 O6'
_cell_length_a 5.689
_cell_length_b 5.689
_cell_length_c 3.951
_cell_angle_alpha 90.00
_cell_angle_beta 90.00
_cell_angle_gamma 90.00
_space_group_name_H-M_alt 'P 4 m m'
_space_group_IT_number 99
loop_
_space_group_symop_operation_xyz
'x,y,z'
'-y,x,z'
'-x,-y,z'
'y,-x,z'
'-x,y,z'
'y,x,z'
'x,-y,z'
'-y,-x,z'
loop_
_atom_site_label
_atom_site_fract_x
_atom_site_fract_y
_atom_site_fract_z
Na1 0.000 0.500 0.000
Ir1 0.000 0.000 0.502
I1 0.500 0.500 0.501
O1 0.000 0.000 0.002
O2 0.251 0.251 0.503
O3 0.500 0.500 0.002
```



2.
A plane-wave DFT calculation with GGA-PBE was carried out for a relaxed structure of NaIr2PbI.

The uncorrected energy comes out at -3.162 eV/atom. For the theoretical density, the calculation gives 9.6 g/cm3. The calculation puts the formation energy (no corrections) at 1.698 eV per atom.

Cell and atoms, written as CIF:
```
data_NaIr2PbI
_chemical_formula_sum 'Na1 Ir2 Pb1 I1'
_cell_length_a 4.948
_cell_length_b 4.948
_cell_length_c 5.214
_cell_angle_alpha 90.00
_cell_angle_beta 90.00
_cell_angle_gamma 90.00
_space_group_name_H-M_alt 'P 4/m m m'
_space_group_IT_number 123
_space_group_name_Hall '-P 4 2'
loop_
_atom_site_label
_atom_site_fract_x
_atom_site_fract_y
_atom_site_fract_z
Na1 0.000 0.000 0.000
Ir1 0.000 0.500 0.000
Pb1 0.500 0.500 0.500
I1 0.000 0.000 0.500
```